[1]
# LaTmTe2S, relaxed, DFT PBE
data_LaTmTe2S
_space_group_name_H-M_alt 'P 4/n m m'
_space_group_IT_number 129
_cell_length_a 4.4837
_cell_length_b 4.4837
_cell_length_c 15.6122
_cell_angle_alpha 90.00
_cell_angle_beta 90.00
_cell_angle_gamma 90.00
loop_
_space_group_symop_operation_xyz
'x,y,z'
'-x,-y,-z'
'-y+1/2,x,z'
'y+1/2,-x,-z'
'-x+1/2,-y+1/2,z'
'x+1/2,y+1/2,-z'
'y,-x+1/2,z'
'-y,x+1/2,-z'
'x+1/2,-y,-z'
'-x+1/2,y,z'
'-y,-x,-z'
'y,x,z'
'-x,y+1/2,-z'
'x,-y+1/2,z'
'y+1/2,x+1/2,-z'
'-y+1/2,-x+1/2,z'
loop_
_atom_site_label
_atom_site_type_symbol
_atom_site_fract_x
_atom_site_fract_y
_atom_site_fract_z
La1 La 0.2500 0.2500 0.1072
Tm1 Tm 0.2500 0.2500 0.6087
Te1 Te 0.2500 0.2500 0.4074
Te2 Te 0.2500 0.2500 0.7919
S1 S 0.2500 0.7500 0.0000
# ΔE_f (raw) (eV per atom): -1.5506

***

[2]
# La2YTe2S2, relaxed, DFT PBE
data_La2YTe2S2
_space_group_name_H-M_alt 'I 4/m m m'
_space_group_IT_number 139
_space_group_name_Hall '-I 4 2'
_cell_length_a 5.0985
_cell_length_b 5.0985
_cell_length_c 16.3100
_cell_angle_alpha 90.00
_cell_angle_beta 90.00
_cell_angle_gamma 90.00
loop_
_atom_site_label
_atom_site_type_symbol
_atom_site_fract_x
_atom_site_fract_y
_atom_site_fract_z
La1 La 0.0000 0.0000 0.1167
Y1 Y 0.0000 0.0000 0.5000
Te1 Te 0.0000 0.0000 0.3153
S1 S 0.0000 0.5000 0.0000
# ΔE_f (raw) (eV per atom): -1.6668

***

[3]
# LaY2TeS, relaxed, DFT PBE
data_LaY2TeS
_space_group_name_H-M_alt 'P 4/m m m'
_space_group_IT_number 123
_space_group_name_Hall '-P 4 2'
_cell_length_a 5.0257
_cell_length_b 5.0257
_cell_length_c 6.9064
_cell_angle_alpha 90.00
_cell_angle_beta 90.00
_cell_angle_gamma 90.00
loop_
_atom_site_label
_atom_site_type_symbol
_atom_site_fract_x
_atom_site_fract_y
_atom_site_fract_z
La1 La 0.0000 0.0000 0.0000
Y1 Y 0.0000 0.5000 0.5000
Te1 Te 0.5000 0.5000 0.0000
S1 S 0.5000 0.5000 0.5000
# ΔE_f (raw) (eV per atom): -0.6646

***

[4]
# LaYTe2S, relaxed, DFT PBE
data_LaYTe2S
_space_group_name_H-M_alt 'P 4/n m m'
_space_group_IT_number 129
_cell_length_a 4.5098
_cell_length_b 4.5098
_cell_length_c 15.7288
_cell_angle_alpha 90.00
_cell_angle_beta 90.00
_cell_angle_gamma 90.00
loop_
_space_group_symop_operation_xyz
'x,y,z'
'-x,-y,-z'
'-y+1/2,x,z'
'y+1/2,-x,-z'
'-x+1/2,-y+1/2,z'
'x+1/2,y+1/2,-z'
'y,-x+1/2,z'
'-y,x+1/2,-z'
'x+1/2,-y,-z'
'-x+1/2,y,z'
'-y,-x,-z'
'y,x,z'
'-x,y+1/2,-z'
'x,-y+1/2,z'
'y+1/2,x+1/2,-z'
'-y+1/2,-x+1/2,z'
loop_
_atom_site_label
_atom_site_type_symbol
_atom_site_fract_x
_atom_site_fract_y
_atom_site_fract_z
La1 La 0.2500 0.2500 0.1057
Y1 Y 0.2500 0.2500 0.6102
Te1 Te 0.2500 0.2500 0.4070
Te2 Te 0.2500 0.2500 0.7943
S1 S 0.2500 0.7500 0.0000
# ΔE_f (raw) (eV per atom): -1.5923

***

[5]
# La4Th3S8, relaxed, DFT PBE
data_La4Th3S8
_space_group_name_H-M_alt 'C 1 2/m 1'
_space_group_IT_number 12
_space_group_name_Hall '-C 2y'
_cell_length_a 11.5429
_cell_length_b 11.5588
_cell_length_c 8.1597
_cell_angle_alpha 90.00
_cell_angle_beta 134.83
_cell_angle_gamma 90.00
loop_
_atom_site_label
_atom_site_type_symbol
_atom_site_fract_x
_atom_site_fract_y
_atom_site_fract_z
La1 La 0.0000 0.0000 0.0000
La2 La 0.0000 0.5000 0.5000
La3 La 0.2500 0.2500 0.0000
Th1 Th 0.0000 0.5000 0.0000
Th2 Th 0.2500 0.2500 0.5000
S1 S 0.0000 0.2463 0.5000
S2 S 0.0000 0.2521 0.0000
S3 S 0.2471 0.0000 0.5058
S4 S 0.2483 0.5000 0.0041
# ΔE_f (raw) (eV per atom): -2.0146

***

[6]
# La2Th2S7, relaxed, DFT PBE
data_La2Th2S7
_space_group_name_H-M_alt 'I m m 2'
_space_group_IT_number 44
_space_group_name_Hall 'I 2 -2'
_cell_length_a 4.1318
_cell_length_b 14.4293
_cell_length_c 8.8156
_cell_angle_alpha 90.00
_cell_angle_beta 90.00
_cell_angle_gamma 90.00
loop_
_atom_site_label
_atom_site_type_symbol
_atom_site_fract_x
_atom_site_fract_y
_atom_site_fract_z
La1 La 0.0000 0.0000 0.0000
La2 La 0.0000 0.5000 0.0389
Th1 Th 0.0000 0.2591 0.7845
S1 S 0.0000 0.1434 0.4828
S2 S 0.0000 0.1881 0.0935
S3 S 0.0000 0.3842 0.3148
S4 S 0.0000 0.5000 0.7210
# ΔE_f (raw) (eV per atom): -2.0649